1.
Here is a relaxed BaSrTc4 crystal from the Alexandria database. Energies are from PBE.

## Properties
DFT formation energy = 0.72 eV per atom
E = -6.79 eV/atom
SG = F-43m, No. 216

Structure (extended XYZ):
```
6
Lattice="-5.112 -1.154 -1.977 -4.321 3.315 1.306 -2.295 3.282 -3.916" Properties=species:S:1:pos:R:3 pbc="T T T"
Tc -6.559 3.699 -1.066
Tc -6.955 1.463 -2.709
Tc -5.545 3.682 -3.679
Sr 0.000 0.000 0.000
Tc -4.397 2.040 -1.719
Ba -8.796 4.082 -3.440
```

***

2.
Here is a relaxed La2ScCr crystal from the Alexandria database. Energies are from PBE.

## Properties
Offset from the most stable computed form = 0.1068 eV/atom
DFT formation energy = 0.36 eV per atom
E = -6.09 eV/atom
SG = I-4m2, No. 119

Structure (extended XYZ):
```
4
Lattice="-1.577 5.698 -1.233 -3.092 0.584 -5.154 -0.501 -3.568 4.846" Properties=species:S:1:pos:R:3 pbc="T T T"
Cr -2.206 2.635 0.210
Sc -2.335 3.141 -3.193
La 0.000 0.000 0.000
La -2.964 0.079 -1.750
```

***

3.
Here is a relaxed AlCo2ReTc crystal from the Alexandria database. Energies are from PBE.

## Properties
DFT formation energy = 1.51 eV per atom
E = -6.64 eV/atom
SG = P4/mmm, No. 123

Structure (extended XYZ):
```
5
Lattice="-3.200 2.967 -0.261 -2.017 -2.441 -3.015 -2.336 -2.224 3.363" Properties=species:S:1:pos:R:3 pbc="T T T"
Al -1.168 -1.112 1.681
Tc -3.776 -0.849 0.043
Co -1.008 -1.220 -1.507
Co -1.600 1.483 -0.131
Re 0.000 0.000 0.000
```

***

4.
Here is a relaxed TaOsSe2 crystal from the Alexandria database. Energies are from PBE.

## Properties
Offset from the most stable computed form = 0.8037 eV/atom
E_form (uncorrected) = 645 meV per atom
E = -6.87 eV/atom
SG = F-43m, No. 216

Structure (extended XYZ):
```
4
Lattice="4.617 0.000 0.000 2.308 3.998 0.000 2.308 1.333 3.770" Properties=species:S:1:pos:R:3 pbc="T T T"
Os 4.617 2.666 1.885
Ta 6.925 3.998 2.827
Se 0.000 0.000 0.000
Se 2.308 1.333 0.942
```

***

E of number 1 (BaSrTc4)? -6.79 eV/atom